A relaxed structure of PtSeSN2. Source: Alexandria via LeMat-Bulk, functional GGA-PBEsol.

a b c (Å): 3.656 3.656 7.493
angles (deg): 90.00 90.00 90.00
Space group P4/mmm (No. 123)
One atom of each set of equivalent atoms:
Pt (0.000, 0.000, 0.000) x1
Se (0.500, 0.500, 0.500) x1
S (0.000, 0.000, 0.500) x1
N (0.000, 0.500, 0.000) x2

## Properties
VASP energy	-5.37	eV per atom

=====

A relaxed structure of TaPtS2N. Source: Alexandria via LeMat-Bulk, functional GGA-PBEsol.

a b c (Å): 4.808 4.808 3.585
angles (deg): 90.00 90.00 90.00
Space group P4/mmm (No. 123)
One atom of each set of equivalent atoms:
Ta (0.000, 0.000, 0.000) x1
Pt (0.500, 0.500, 0.500) x1
S (0.000, 0.500, 0.500) x2
N (0.500, 0.500, 0.000) x1

## Properties
VASP energy	-6.54	eV per atom

=====

A relaxed structure of Sb3PtN. Source: Alexandria via LeMat-Bulk, functional GGA-PBEsol.

a b c (Å): 4.588 4.588 4.588
angles (deg): 90.00 90.00 90.00
Space group Pm-3m (No. 221)
One atom of each set of equivalent atoms:
Sb (0.000, 0.000, 0.500) x3
Pt (0.500, 0.500, 0.500) x1
N (0.000, 0.000, 0.000) x1

## Properties
VASP energy	-5.36	eV per atom

=====

A relaxed structure of SbPtSeN2. Source: Alexandria via LeMat-Bulk, functional GGA-PBEsol.

a b c (Å): 3.919 3.919 5.239
angles (deg): 90.00 90.00 90.00
Space group P4/mmm (No. 123)
One atom of each set of equivalent atoms:
Sb (0.000, 0.000, 0.000) x1
Pt (0.500, 0.500, 0.500) x1
Se (0.500, 0.500, 0.000) x1
N (0.000, 0.500, 0.500) x2

## Properties
VASP energy	-5.41	eV per atom

=====

A relaxed structure of Sc2PtN2. Source: Alexandria via LeMat-Bulk, functional GGA-PBEsol.

a b c (Å): 4.318 4.318 8.330
angles (deg): 90.00 90.00 90.00
Space group I4/mmm (No. 139)
One atom of each set of equivalent atoms:
Sc (0.000, 0.500, 0.250) x4
Pt (0.000, 0.000, 0.000) x2
N (0.000, 0.000, 0.246) x4

## Properties
VASP energy	-8.66	eV per atom

=====

A relaxed structure of ScTe2PtN. Source: Alexandria via LeMat-Bulk, functional GGA-PBEsol.

a b c (Å): 5.493 5.493 3.679
angles (deg): 90.00 90.00 90.00
Space group P4/mmm (No. 123)
One atom of each set of equivalent atoms:
Sc (0.000, 0.000, 0.000) x1
Te (0.000, 0.500, 0.000) x2
Pt (0.500, 0.500, 0.500) x1
N (0.000, 0.000, 0.500) x1

## Properties
ΔE to the lowest computed polymorph	0.490	eV per atom

=====

A relaxed structure of ScTe2PtN. Source: Alexandria via LeMat-Bulk, functional GGA-PBEsol.

a b c (Å): 5.473 5.473 3.684
angles (deg): 90.00 90.00 90.00
Space group P4/mmm (No. 123)
One atom of each set of equivalent atoms:
Sc (0.000, 0.000, 0.000) x1
Te (0.000, 0.500, 0.500) x2
Pt (0.500, 0.500, 0.500) x1
N (0.500, 0.500, 0.000) x1

## Properties
ΔE to the lowest computed polymorph	0.000	eV per atom

=====

A relaxed structure of PtSeN2. Source: Alexandria via LeMat-Bulk, functional GGA-PBEsol.

a b c (Å): 4.389 4.389 11.069
angles (deg): 90.00 90.00 90.00
Space group I-42d (No. 122)
One atom of each set of equivalent atoms:
Pt (0.000, 0.000, 0.000) x4
Se (0.000, 0.000, 0.500) x4
N (0.242, 0.250, 0.125) x8

## Properties
VASP energy	-5.75	eV per atom

=====

A relaxed structure of SnPtSe2N. Source: Alexandria via LeMat-Bulk, functional GGA-PBEsol.

a b c (Å): 5.212 5.212 3.822
angles (deg): 90.00 90.00 90.00
Space group P4/mmm (No. 123)
One atom of each set of equivalent atoms:
Sn (0.000, 0.000, 0.000) x1
Pt (0.500, 0.500, 0.500) x1
Se (0.000, 0.500, 0.000) x2
N (0.000, 0.000, 0.500) x1

## Properties
VASP energy	-4.26	eV per atom

=====

A relaxed structure of TiPtSe2N. Source: Alexandria via LeMat-Bulk, functional GGA-PBEsol.

a b c (Å): 4.954 4.954 3.601
angles (deg): 90.00 90.00 90.00
Space group P4/mmm (No. 123)
One atom of each set of equivalent atoms:
Ti (0.000, 0.000, 0.000) x1
Pt (0.500, 0.500, 0.500) x1
Se (0.000, 0.500, 0.000) x2
N (0.000, 0.000, 0.500) x1

## Properties
VASP energy	-6.03	eV per atom

=====

A relaxed structure of TlPtSe2N. Source: Alexandria via LeMat-Bulk, functional GGA-PBEsol.

a b c (Å): 5.303 5.303 3.637
angles (deg): 90.00 90.00 90.00
Space group P4/mmm (No. 123)
One atom of each set of equivalent atoms:
Tl (0.000, 0.000, 0.000) x1
Pt (0.500, 0.500, 0.500) x1
Se (0.000, 0.500, 0.500) x2
N (0.500, 0.500, 0.000) x1

## Properties
VASP energy	-4.86	eV per atom

=====

A relaxed structure of YPtSe2N. Source: Alexandria via LeMat-Bulk, functional GGA-PBEsol.

a b c (Å): 5.141 5.141 3.701
angles (deg): 90.00 90.00 90.00
Space group P4/mmm (No. 123)
One atom of each set of equivalent atoms:
Y (0.000, 0.000, 0.000) x1
Pt (0.500, 0.500, 0.500) x1
Se (0.000, 0.500, 0.500) x2
N (0.500, 0.500, 0.000) x1

## Properties
VASP energy	-6.37	eV per atom

=====

no.,theoretical density (Mg/m³)
1,5.540
2,9.100
3,9.878
4,8.747
5,6.694
6,7.617
7,7.664
8,9.411
9,7.770
10,7.795
11,9.278
12,7.742